# 1
A plane-wave DFT calculation with PBE was carried out for an optimized crystal structure of MnCr4Re.

As for the electronic total energy: -9.9267 eV/atom. Its density of states at the Fermi level is 1.281 states/eV/atom. As for the energy relative to the lowest polymorph listed for this composition: 61 meV/atom.

It has space group F-43m (No. 216), with a = 6.690 Å, b = 6.690 Å, c = 6.690 Å, α = 90.00°, β = 90.00° and γ = 90.00°. The inequivalent atoms are Mn at (0.000, 0.000, 0.000), Cr at (0.125, 0.125, 0.375) and Re at (0.250, 0.250, 0.750).

---

# 2
A plane-wave DFT calculation with PBE was carried out for an optimized crystal structure of MnCrRe.

As for the electronic total energy: -10.2975 eV/atom. Its density of states at the Fermi level is 0.905 states/eV/atom. As for the energy relative to the lowest polymorph listed for this composition: 178 meV/atom.

It has space group Fmm2 (No. 42), with a = 3.042 Å, b = 4.225 Å, c = 12.127 Å, α = 90.00°, β = 90.00° and γ = 90.00°. The inequivalent atoms are Mn at (0.000, 0.000, 0.000), Cr at (0.000, 0.000, 0.655) and Re at (0.000, 0.000, 0.327).

---

# 3
A plane-wave DFT calculation with PBE was carried out for an optimized crystal structure of Mn8CrRe3.

As for the electronic total energy: -10.0658 eV/atom. Its density of states at the Fermi level is 0.570 states/eV/atom.

It has space group R3m (No. 160, hexagonal axes), with a = 4.6495 Å, b = 4.6495 Å, c = 22.7737 Å, α = 90.00°, β = 90.00° and γ = 120.00°. The inequivalent atoms are Mn at (0.0000, 0.0000, 0.0000), Mn at (0.0000, 0.0000, 0.4996), Mn at (0.1671, 0.3343, 0.0843), Mn at (0.1677, 0.3355, 0.5827), Cr at (0.0000, 0.0000, 0.8129), Re at (0.0000, 0.0000, 0.1869), Re at (0.0000, 0.0000, 0.3123) and Re at (0.0000, 0.0000, 0.6885).